Record 1
## KNa2Pd (PBE)

Data for a relaxed structure of KNa2Pd.

The structure in CIF format:
```
data_KNa2Pd
_symmetry_space_group_name_H-M 'R -3 m'
_symmetry_Int_Tables_number 166
_symmetry_space_group_name_Hall '-R 3 2"'
_cell_length_a 3.4229
_cell_length_b 3.4229
_cell_length_c 37.9293
_cell_angle_alpha 90.00
_cell_angle_beta 90.00
_cell_angle_gamma 120.00
loop_
_atom_site_label
_atom_site_fract_x
_atom_site_fract_y
_atom_site_fract_z
K1 0.0000 0.0000 0.0000
Na1 0.0000 0.0000 0.4290
Pd1 0.0000 0.0000 0.5000
```

Values from the calculation:
N(E_F)   0.659 states/eV/atom
Volume   32.1 A^3/atom
Total energy   -21.90 eV/cell
Total magnetization   0.00 μB/cell
Crystal system   trigonal

=====

Record 2
## KNa3Pd (PBE)

Data for a relaxed structure of KNa3Pd.

The structure in CIF format:
```
data_KNa3Pd
_symmetry_space_group_name_H-M 'P m -3 m'
_symmetry_Int_Tables_number 221
_symmetry_space_group_name_Hall '-P 4 2 3'
_cell_length_a 5.830
_cell_length_b 5.830
_cell_length_c 5.830
_cell_angle_alpha 90.00
_cell_angle_beta 90.00
_cell_angle_gamma 90.00
loop_
_atom_site_label
_atom_site_fract_x
_atom_site_fract_y
_atom_site_fract_z
K1 0.000 0.000 0.000
Na1 0.000 0.000 0.500
Pd1 0.500 0.500 0.500
```

Values from the calculation:
N(E_F)   0.408 states/eV/atom
Volume   39.6 A^3/atom
Total energy   -6.27 eV/cell
Total magnetization   0.00 μB/cell
Crystal system   cubic